Entry 1:
An optimized crystal structure of AlFeCo2, computed with PBE-GGA.

Structure (CIF):
```
data_AlFeCo2
_chemical_formula_sum 'Al4 Fe4 Co8'
_space_group_name_H-M_alt 'I -4 2 d'
_space_group_IT_number 122
_space_group_name_Hall 'I -4 2bw'
_cell_length_a 3.460
_cell_length_b 3.460
_cell_length_c 17.087
_cell_angle_alpha 90.00
_cell_angle_beta 90.00
_cell_angle_gamma 90.00
loop_
_atom_site_label
_atom_site_type_symbol
_atom_site_fract_x
_atom_site_fract_y
_atom_site_fract_z
_atom_site_occupancy
Al1 Al 0.000 0.000 0.000 1
Fe1 Fe 0.000 0.000 0.500 1
Co1 Co 0.238 0.250 0.125 1
```

Computed properties:
- D(E_F): 0.85 states/eV/atom
- Total magnetization: 20.6 μB/cell
- Volume: 204.50 Å³ per cell
- DFT formation energy: 0.28 eV/atom
- Theoretical density: 6.52 g cm⁻³

=====

Entry 2:
An optimized crystal structure of Al2Fe2Co15, computed with PBE-GGA.

Structure (CIF):
```
data_Al2Fe2Co15
_chemical_formula_sum 'Al6 Fe6 Co45'
_space_group_name_H-M_alt 'R -3 m'
_space_group_IT_number 166
_space_group_name_Hall '-R 3 2"'
_cell_length_a 8.1278
_cell_length_b 8.1278
_cell_length_c 11.9856
_cell_angle_alpha 90.00
_cell_angle_beta 90.00
_cell_angle_gamma 120.00
loop_
_atom_site_label
_atom_site_type_symbol
_atom_site_fract_x
_atom_site_fract_y
_atom_site_fract_z
_atom_site_occupancy
Al1 Al 0.0000 0.0000 0.1139 1
Fe1 Fe 0.0000 0.0000 0.3748 1
Co1 Co 0.0000 0.2927 0.0000 1
Co2 Co 0.0000 0.5000 0.5000 1
Co3 Co 0.0108 0.5054 0.1448 1
```

Computed properties:
- D(E_F): 0.90 states/eV/atom
- Total magnetization: 84.8 μB/cell
- Volume: 685.70 Å³ per cell
- DFT formation energy: 0.10 eV/atom
- Theoretical density: 7.63 g cm⁻³